# 1
The following is a GGA-PBE calculation of a relaxed structure of Li2TbY, from Alexandria.

The formation energy comes out at 142 meV/atom. The magnetic moment comes out at 0.001 μB/f.u. The polymorph energy (0 for the lowest one) comes out at 0.0 meV/atom.

```
4
Lattice="3.720 0.000 0.000 0.000 3.720 0.000 0.000 0.000 7.448" Properties=species:S:1:pos:R:3 pbc="T T T"
Li 0.000 0.000 1.856
Li 0.000 0.000 5.592
Tb 1.860 1.860 0.000
Y 1.860 1.860 3.724
```

# 2
The following is a GGA-PBE calculation of a relaxed structure of LiTb2Y, from Alexandria.

The formation energy comes out at 181 meV/atom. The magnetic moment comes out at 0.001 μB/f.u. The polymorph energy (0 for the lowest one) comes out at 110.5 meV/atom.

```
4
Lattice="1.738 1.003 12.190 -1.738 1.003 12.190 0.000 -2.007 12.190" Properties=species:S:1:pos:R:3 pbc="T T T"
Li 0.000 0.000 0.000
Tb 0.000 0.000 3.244
Tb 0.000 0.000 33.327
Y 0.000 0.000 18.285
```

# 3
The following is a GGA-PBE calculation of a relaxed structure of LiTbY2, from Alexandria.

The formation energy comes out at 190 meV/atom. The magnetic moment comes out at 0.000 μB/f.u. The polymorph energy (0 for the lowest one) comes out at 129.0 meV/atom.

```
4
Lattice="1.739 1.004 12.197 -1.739 1.004 12.197 0.000 -2.007 12.197" Properties=species:S:1:pos:R:3 pbc="T T T"
Li 0.000 0.000 0.000
Tb 0.000 0.000 18.295
Y 0.000 0.000 3.240
Y 0.000 0.000 33.351
```

# 4
The following is a GGA-PBE calculation of a relaxed structure of LiTbYZn, from Alexandria.

The formation energy comes out at -130 meV/atom. The magnetic moment comes out at 0.003 μB/f.u. The polymorph energy (0 for the lowest one) comes out at 0.0 meV/atom.

```
4
Lattice="3.634 0.000 0.000 0.000 3.634 0.000 0.000 0.000 7.369" Properties=species:S:1:pos:R:3 pbc="T T T"
Li 0.000 0.000 0.000
Tb 1.817 1.817 1.966
Y 1.817 1.817 5.393
Zn 0.000 0.000 3.674
```

# 5
The following is a GGA-PBE calculation of a relaxed structure of LiTbYZn, from Alexandria.

The formation energy comes out at -127 meV/atom. The magnetic moment comes out at 0.001 μB/f.u. The polymorph energy (0 for the lowest one) comes out at 2.7 meV/atom.

```
4
Lattice="0.000 3.620 3.620 3.620 0.000 3.620 3.620 3.620 0.000" Properties=species:S:1:pos:R:3 pbc="T T T"
Li 0.000 0.000 0.000
Tb 5.431 5.431 5.431
Y 1.810 1.810 1.810
Zn 3.620 3.620 3.620
```

# 6
The following is a GGA-PBE calculation of a relaxed structure of Li2Tb2Zn3, from Alexandria.

The formation energy comes out at -183 meV/atom. The magnetic moment comes out at 0.000 μB/f.u.

```
7
Lattice="1.766 -12.185 0.000 1.766 12.185 0.000 0.000 0.000 3.427" Properties=species:S:1:pos:R:3 pbc="T T T"
Li 1.766 7.152 0.000
Li 1.766 -7.152 0.000
Tb 1.766 10.377 0.000
Tb 1.766 -10.377 0.000
Zn 1.766 3.718 1.713
Zn 1.766 0.000 1.713
Zn 1.766 -3.718 1.713
```

# 7
The following is a GGA-PBE calculation of a relaxed structure of LiTb3Zn8, from Alexandria.

The formation energy comes out at -304 meV/atom. The magnetic moment comes out at 0.000 μB/f.u.

```
12
Lattice="2.704 1.561 8.838 -2.704 1.561 8.838 0.000 -3.122 8.838" Properties=species:S:1:pos:R:3 pbc="T T T"
Li 0.000 0.000 0.000
Tb 0.000 0.000 9.789
Tb 0.000 0.000 13.121
Tb 0.000 0.000 23.277
Zn 0.000 0.000 4.906
Zn -1.352 -0.781 20.343
Zn 0.000 -1.569 15.965
Zn -1.359 0.784 15.965
Zn 0.000 0.000 18.144
Zn 1.352 -0.781 20.343
Zn 0.000 1.562 20.343
Zn 1.359 0.784 15.965
```

# 8
The following is a GGA-PBE calculation of a relaxed structure of Li4TbZn12, from Alexandria.

The formation energy comes out at 174 meV/atom. The magnetic moment comes out at 0.000 μB/f.u.

```
17
Lattice="-4.303 4.303 4.303 4.303 -4.303 4.303 4.303 4.303 -4.303" Properties=species:S:1:pos:R:3 pbc="T T T"
Li 2.151 2.151 -2.151
Li 2.151 -2.151 2.151
Li -2.151 2.151 2.151
Li 2.151 2.151 2.151
Tb 0.000 0.000 0.000
Zn 3.041 0.000 1.286
Zn 5.564 0.000 1.286
Zn 4.303 3.017 -1.261
Zn 1.286 3.041 0.000
Zn 3.017 -1.261 4.303
Zn 4.303 3.017 1.261
Zn 0.000 1.286 3.041
Zn 1.286 5.564 0.000
Zn 3.017 1.261 4.303
Zn 0.000 1.286 5.564
Zn -1.261 4.303 3.017
Zn 1.261 4.303 3.017
```

# 9
The following is a GGA-PBE calculation of a relaxed structure of LiTb3Zn4, from Alexandria.

The formation energy comes out at -276 meV/atom. The magnetic moment comes out at 0.000 μB/f.u.

```
8
Lattice="2.471 1.426 8.163 -2.471 1.426 8.163 0.000 -2.853 8.163" Properties=species:S:1:pos:R:3 pbc="T T T"
Li 0.000 0.000 0.000
Tb 0.000 0.000 6.229
Tb 0.000 0.000 12.244
Tb 0.000 0.000 18.258
Zn 0.000 0.000 2.971
Zn 0.000 0.000 9.164
Zn 0.000 0.000 15.324
Zn 0.000 0.000 21.517
```

# 10
The following is a GGA-PBE calculation of a relaxed structure of Li3TbZn3, from Alexandria.

The formation energy comes out at 239 meV/atom. The magnetic moment comes out at 0.000 μB/f.u.

```
14
Lattice="6.564 0.000 0.000 0.000 6.564 0.000 0.000 0.000 6.564" Properties=species:S:1:pos:R:3 pbc="T T T"
Li 0.000 1.641 3.282
Li 0.000 4.923 3.282
Li 1.641 3.282 0.000
Li 3.282 0.000 1.641
Li 3.282 0.000 4.923
Li 4.923 3.282 0.000
Tb 0.000 0.000 0.000
Tb 3.282 3.282 3.282
Zn 0.000 3.282 1.641
Zn 0.000 3.282 4.923
Zn 1.641 0.000 3.282
Zn 3.282 1.641 0.000
Zn 3.282 4.923 0.000
Zn 4.923 0.000 3.282
```

# 11
The following is a GGA-PBE calculation of a relaxed structure of Li4TbZn2, from Alexandria.

The formation energy comes out at -112 meV/atom. The magnetic moment comes out at 0.000 μB/f.u.

```
7
Lattice="2.064 -8.688 0.000 2.064 8.688 0.000 0.000 0.000 3.837" Properties=species:S:1:pos:R:3 pbc="T T T"
Li 2.064 5.581 0.000
Li 2.064 3.151 1.918
Li 2.064 -3.151 1.918
Li 2.064 -5.581 0.000
Tb 0.000 0.000 1.918
Zn 2.064 1.306 0.000
Zn 2.064 -1.306 0.000
```

# 12
The following is a GGA-PBE calculation of a relaxed structure of LiTb2Zn5, from Alexandria.

The formation energy comes out at -232 meV/atom. The magnetic moment comes out at 0.000 μB/f.u.

```
16
Lattice="2.162 -8.061 0.000 2.162 8.061 0.000 0.000 0.000 8.932" Properties=species:S:1:pos:R:3 pbc="T T T"
Li 2.162 7.230 6.699
Li 2.162 -7.230 2.233
Tb 2.162 3.207 2.233
Tb 2.162 0.000 0.000
Tb 2.162 0.000 4.466
Tb 2.162 -3.207 6.699
Zn 2.162 6.406 2.233
Zn 2.162 5.712 4.686
Zn 2.162 5.712 8.711
Zn 2.162 3.038 5.402
Zn 2.162 3.038 7.996
Zn 2.162 -3.038 0.936
Zn 2.162 -3.038 3.530
Zn 2.162 -5.712 0.220
Zn 2.162 -5.712 4.246
Zn 2.162 -6.406 6.699
```

# 13
The following is a GGA-PBE calculation of a relaxed structure of LiTb4Zn3, from Alexandria.

The formation energy comes out at -242 meV/atom. The magnetic moment comes out at 0.000 μB/f.u.

```
8
Lattice="2.546 1.470 8.321 -2.546 1.470 8.321 0.000 -2.940 8.321" Properties=species:S:1:pos:R:3 pbc="T T T"
Li 0.000 0.000 0.000
Tb 0.000 0.000 3.176
Tb 0.000 0.000 9.427
Tb 0.000 0.000 15.537
Tb 0.000 0.000 21.787
Zn 0.000 0.000 6.331
Zn 0.000 0.000 12.482
Zn 0.000 0.000 18.632
```

# 14
The following is a GGA-PBE calculation of a relaxed structure of LiTb5Zn6, from Alexandria.

The formation energy comes out at -292 meV/atom. The magnetic moment comes out at 0.004 μB/f.u.

```
12
Lattice="-2.498 3.519 7.523 2.498 -3.519 7.523 2.498 3.519 -7.523" Properties=species:S:1:pos:R:3 pbc="T T T"
Li 0.000 0.000 0.000
Tb 2.498 0.000 2.483
Tb 0.000 0.000 4.990
Tb 0.000 3.519 0.000
Tb 0.000 0.000 10.055
Tb 0.000 3.519 5.040
Zn 2.498 -1.848 5.133
Zn 2.498 1.672 0.000
Zn 0.000 1.671 2.390
Zn 2.498 1.848 5.133
Zn 0.000 1.847 7.523
Zn 0.000 5.367 2.390
```

# 15
The following is a GGA-PBE calculation of a relaxed structure of Li6TbZn12, from Alexandria.

The formation energy comes out at -23 meV/atom. The magnetic moment comes out at 0.000 μB/f.u.

```
19
Lattice="5.631 3.251 2.831 -5.631 3.251 2.831 0.000 -6.503 2.831" Properties=species:S:1:pos:R:3 pbc="T T T"
Li 0.000 -2.810 3.586
Li -2.433 1.405 3.586
Li -2.433 -1.405 4.908
Li 2.433 1.405 3.586
Li 2.433 -1.405 4.908
Li 0.000 2.810 4.908
Tb 0.000 0.000 0.000
Zn -2.176 -3.770 4.247
Zn -4.353 0.000 4.247
Zn -1.405 -0.811 2.629
Zn 1.405 -0.811 2.629
Zn 0.000 1.623 2.629
Zn 2.176 -3.770 4.247
Zn -2.176 3.770 4.247
Zn 0.000 -1.623 5.865
Zn -1.405 0.811 5.865
Zn 1.405 0.811 5.865
Zn 4.353 0.000 4.247
Zn 2.176 3.770 4.247
```

# 16
The following is a GGA-PBE calculation of a relaxed structure of LiTb2Zn16, from Alexandria.

The formation energy comes out at -251 meV/atom. The magnetic moment comes out at 0.000 μB/f.u.

```
19
Lattice="4.492 2.593 4.387 -4.492 2.593 4.387 0.000 -5.187 4.387" Properties=species:S:1:pos:R:3 pbc="T T T"
Li 0.000 0.000 0.000
Tb 0.000 0.000 5.673
Tb 0.000 0.000 9.959
Zn 0.000 -2.625 3.412
Zn -2.274 1.313 3.412
Zn -1.324 -2.892 5.604
Zn -3.166 0.299 5.604
Zn 0.000 0.000 2.628
Zn -2.209 -1.275 7.598
Zn 1.324 -2.892 5.604
Zn -1.842 2.592 5.604
Zn 0.000 -2.502 7.995
Zn -2.167 1.251 7.995
Zn 2.274 1.313 3.412
Zn 2.209 -1.275 7.598
Zn 0.000 2.550 7.598
Zn 3.166 0.299 5.604
Zn 1.842 2.592 5.604
Zn 2.167 1.251 7.995
```

# 17
The following is a GGA-PBE calculation of a relaxed structure of Li3TbZn2, from Alexandria.

The formation energy comes out at -135 meV/atom. The magnetic moment comes out at 0.000 μB/f.u.

```
12
Lattice="6.836 -2.153 0.000 6.836 2.153 0.000 -5.152 0.000 7.652" Properties=species:S:1:pos:R:3 pbc="T T T"
Li -1.240 0.000 3.066
Li 1.456 0.000 3.241
Li 4.190 0.000 2.411
Li 4.329 0.000 5.242
Li 7.063 0.000 4.411
Li 9.759 0.000 4.586
Tb 1.783 0.000 0.037
Tb 6.737 0.000 7.615
Zn -1.018 0.000 5.698
Zn 1.629 0.000 6.080
Zn 6.891 0.000 1.572
Zn 9.538 0.000 1.954
```

# 18
The following is a GGA-PBE calculation of a relaxed structure of LiTb6Zn5, from Alexandria.

The formation energy comes out at -276 meV/atom. The magnetic moment comes out at 0.000 μB/f.u.

```
12
Lattice="2.534 -7.615 0.000 2.534 7.615 0.000 0.000 0.000 7.217" Properties=species:S:1:pos:R:3 pbc="T T T"
Li 0.000 0.000 0.000
Tb 2.534 5.032 1.818
Tb 2.534 5.032 5.399
Tb 2.534 0.000 1.858
Tb 2.534 0.000 5.359
Tb 2.534 -5.032 1.818
Tb 2.534 -5.032 5.399
Zn 0.000 0.000 3.608
Zn 2.534 2.520 3.608
Zn 2.534 2.452 0.000
Zn 2.534 -2.452 0.000
Zn 2.534 -2.520 3.608
```

# 19
The following is a GGA-PBE calculation of a relaxed structure of LiTbZn, from Alexandria.

The formation energy comes out at -125 meV/atom. The magnetic moment comes out at 0.000 μB/f.u. The polymorph energy (0 for the lowest one) comes out at 0.0 meV/atom.

```
3
Lattice="4.758 0.000 0.000 -2.379 4.121 0.000 0.000 0.000 3.196" Properties=species:S:1:pos:R:3 pbc="T T T"
Li 0.000 0.000 0.000
Tb 2.379 1.374 1.594
Zn 0.000 2.747 3.190
```

# 20
The following is a GGA-PBE calculation of a relaxed structure of LiTbZn, from Alexandria.

The formation energy comes out at -123 meV/atom. The magnetic moment comes out at 0.000 μB/f.u. The polymorph energy (0 for the lowest one) comes out at 2.1 meV/atom.

```
6
Lattice="2.662 -4.226 0.000 2.662 4.226 0.000 0.000 0.000 5.917" Properties=species:S:1:pos:R:3 pbc="T T T"
Li 0.000 0.000 0.000
Li 0.000 0.000 2.958
Tb 2.662 1.286 4.438
Tb 2.662 -1.286 1.479
Zn 2.662 1.702 1.479
Zn 2.662 -1.702 4.438
```

# 21
The following is a GGA-PBE calculation of a relaxed structure of LiTbZn, from Alexandria.

The formation energy comes out at -98 meV/atom. The magnetic moment comes out at 0.000 μB/f.u. The polymorph energy (0 for the lowest one) comes out at 27.0 meV/atom.

```
3
Lattice="-1.832 1.832 4.732 1.832 -1.832 4.732 1.832 1.832 -4.732" Properties=species:S:1:pos:R:3 pbc="T T T"
Li 0.000 0.000 0.000
Tb 0.000 0.000 2.915
Zn 0.000 0.000 6.026
```

# 22
The following is a GGA-PBE calculation of a relaxed structure of Li2Tb2Zn15, from Alexandria.

The formation energy comes out at -260 meV/atom. The magnetic moment comes out at 0.000 μB/f.u.

```
19
Lattice="4.515 2.606 4.358 -4.515 2.606 4.358 0.000 -5.213 4.358" Properties=species:S:1:pos:R:3 pbc="T T T"
Li 0.000 0.000 1.282
Li 0.000 0.000 11.791
Tb 0.000 0.000 4.440
Tb 0.000 0.000 8.633
Zn -4.515 0.000 6.537
Zn -1.340 -2.892 4.358
Zn -2.257 1.303 2.179
Zn -3.174 0.285 4.358
Zn -2.209 -1.275 6.352
Zn 1.340 -2.892 4.358
Zn -1.834 2.606 4.358
Zn 0.000 -2.551 6.721
Zn -2.209 1.275 6.721
Zn 2.257 1.303 2.179
Zn 2.209 -1.275 6.352
Zn 0.000 2.551 6.352
Zn 3.174 0.285 4.358
Zn 1.834 2.606 4.358
Zn 2.209 1.275 6.721
```

# 23
The following is a GGA-PBE calculation of a relaxed structure of Li2Tb3Zn4, from Alexandria.

The formation energy comes out at -204 meV/atom. The magnetic moment comes out at 0.000 μB/f.u.

```
9
Lattice="5.213 -2.320 0.000 5.213 2.320 0.000 -4.163 0.000 7.705" Properties=species:S:1:pos:R:3 pbc="T T T"
Li 0.063 0.000 2.219
Li 6.199 0.000 5.487
Tb -1.087 0.000 5.188
Tb 5.213 0.000 0.000
Tb 7.350 0.000 2.517
Zn 2.112 0.000 0.466
Zn 2.093 0.000 4.704
Zn 4.170 0.000 3.002
Zn 4.150 0.000 7.239
```